LiLa2RhAu | PBE | relaxed

Cell and atoms, written as extended XYZ:
```
10
Lattice="-1.1603 0.4945 4.1268 -1.3090 -7.7827 0.5645 7.2197 1.4696 1.8538" Properties=species:S:1:pos:R:3 pbc="T T T"
Li 1.1009 -2.6029 4.0056
Li 3.6495 -3.2158 2.5395
La -1.5483 -5.1918 3.5710
La 2.1233 -0.1850 1.7472
La 2.6272 -5.6337 4.7979
La 6.2987 -0.6268 2.9741
Rh 4.9820 -5.4187 3.1781
Rh -0.2316 -0.3999 3.3670
Au 3.5301 -1.2199 4.5229
Au 1.2203 -4.5987 2.0222
```

The volume is 24.49 A^3/atom. For the spin magnetization, the calculation gives 0.00 μB per cell. The uncorrected energy comes out at -5.121 eV/atom.


LiLa2RuAu | PBE | relaxed

Cell and atoms, written as extended XYZ:
```
5
Lattice="-3.8451 -3.0420 2.0596 3.6110 -3.6778 1.3095 0.6022 2.0916 4.2137" Properties=species:S:1:pos:R:3 pbc="T T T"
La -1.9226 -1.5210 1.0298
La 1.8055 -1.8389 0.6548
Ru 0.0000 0.0000 0.0000
Li 0.3011 1.0458 2.1069
Au 0.1841 -2.3141 3.7914
```

The volume is 26.83 A^3/atom. For the spin magnetization, the calculation gives 0.00 μB per cell. The uncorrected energy comes out at -5.101 eV/atom.


LiLa2AuS | PBE | relaxed

Cell and atoms, written as extended XYZ:
```
5
Lattice="-0.6381 4.5002 3.4869 0.7522 -2.6907 3.6102 5.6143 1.0792 -0.3654" Properties=species:S:1:pos:R:3 pbc="T T T"
Au 0.0000 0.0000 0.0000
S 2.8642 1.4444 3.3659
La 2.8071 0.5396 -0.1827
La -0.3190 2.2501 1.7435
Li 0.3761 -1.3453 1.8051
```

The volume is 29.96 A^3/atom. For the spin magnetization, the calculation gives 0.00 μB per cell. The calculation puts the uncorrected formation energy at -0.482 eV per atom.


LiLa2AuS | PBE | relaxed

Cell and atoms, written as extended XYZ:
```
5
Lattice="-0.5016 1.3938 5.2277 0.0766 -3.9237 1.0535 5.4093 0.2286 0.4581" Properties=species:S:1:pos:R:3 pbc="T T T"
Au 2.4921 -1.1507 3.3696
S 0.0383 -1.9619 0.5267
Li 0.0000 0.0000 0.0000
La 2.7047 0.1143 0.2291
La -0.2508 0.6969 2.6138
```

The volume is 23.99 A^3/atom. For the spin magnetization, the calculation gives 0.00 μB per cell. The calculation puts the uncorrected formation energy at -0.475 eV per atom.


LiLaSb2Au2 | PBE | relaxed

Cell and atoms, written as extended XYZ:
```
6
Lattice="-4.4389 0.9376 1.1435 1.1459 -4.2203 -1.6631 1.2888 -2.3958 6.9676" Properties=species:S:1:pos:R:3 pbc="T T T"
Au -2.1774 -1.5251 2.3699
Au 0.1732 -4.1534 4.0780
Sb -1.6181 -2.5648 5.3935
Sb -0.3860 -3.1138 1.0545
Li 0.6444 -1.1979 3.4838
La 0.0000 0.0000 0.0000
```

The volume is 23.63 A^3/atom. For the spin magnetization, the calculation gives 0.00 μB per cell. The calculation puts the uncorrected formation energy at -0.713 eV per atom.


LiLaSb2Au4 | PBE | relaxed

Cell and atoms, written as extended XYZ:
```
8
Lattice="4.8142 0.0000 0.0000 2.4071 4.1692 0.0000 2.4071 1.3897 8.6623" Properties=species:S:1:pos:R:3 pbc="T T T"
Sb 2.4071 1.3897 2.2387
Sb 7.2213 4.1692 6.4236
Au 7.2213 4.1692 3.6022
Au 4.8142 2.7795 1.5692
Au 2.4071 1.3897 5.0601
Au 4.8142 2.7795 7.0931
La 0.0000 0.0000 0.0000
Li 4.8142 2.7795 4.3312
```

The volume is 21.73 A^3/atom. For the spin magnetization, the calculation gives 0.00 μB per cell. The calculation puts the uncorrected formation energy at -0.512 eV per atom.


LiLaSbAu | PBE | relaxed

Cell and atoms, written as extended XYZ:
```
4
Lattice="5.2329 0.0000 0.0000 2.6164 4.5318 0.0000 2.6164 1.5106 4.2726" Properties=species:S:1:pos:R:3 pbc="T T T"
Li 2.6164 1.5106 1.0682
Sb 5.2329 3.0212 2.1363
La 7.8493 4.5318 3.2045
Au 0.0000 0.0000 0.0000
```

The volume is 25.33 A^3/atom. For the spin magnetization, the calculation gives 0.00 μB per cell. The calculation puts the uncorrected formation energy at -0.793 eV per atom.


LiLaSb2Au | PBE | relaxed

Cell and atoms, written as extended XYZ:
```
5
Lattice="-4.6299 1.9925 -0.6456 -0.8021 -3.0149 -3.5530 -1.9089 -3.3696 3.2902" Properties=species:S:1:pos:R:3 pbc="T T T"
Sb -0.9545 -1.6848 1.6451
Sb -2.3150 0.9963 -0.3228
Au -0.4010 -1.5074 -1.7765
La -3.6704 -2.1960 -0.4542
Li 0.0000 0.0000 0.0000
```

The volume is 24.42 A^3/atom. For the spin magnetization, the calculation gives 0.00 μB per cell. The calculation puts the uncorrected formation energy at -0.443 eV per atom.


Li2LaAuSe | PBE | relaxed

Cell and atoms, written as extended XYZ:
```
5
Lattice="5.9395 0.0000 0.0000 0.0000 5.3945 0.0000 0.0000 0.0000 5.9395" Properties=species:S:1:pos:R:3 pbc="T T T"
Li 2.9698 0.0000 0.0000
Li 0.0000 0.0000 2.9698
Se 2.9698 2.6972 2.9698
La 0.0000 0.0000 0.0000
Au 0.0000 2.6972 0.0000
```

The volume is 38.06 A^3/atom. For the spin magnetization, the calculation gives 2.00 μB per cell. The calculation puts the uncorrected formation energy at 0.736 eV per atom.


LiLaSiAu2 | PBE | relaxed

Cell and atoms, written as extended XYZ:
```
5
Lattice="-4.0504 -0.1936 -2.6471 1.4798 -4.9981 -1.8987 -2.3186 -2.0924 3.7009" Properties=species:S:1:pos:R:3 pbc="T T T"
Si 0.0000 0.0000 0.0000
Au -1.1593 -1.0462 1.8504
Au -2.0252 -0.0968 -1.3235
Li -2.4446 -3.6421 -0.4224
La 0.7399 -2.4991 -0.9493
```

The volume is 26.02 A^3/atom. For the spin magnetization, the calculation gives 0.00 μB per cell. The calculation puts the uncorrected formation energy at -0.035 eV per atom.


LiLa2SiAu6 | PBE | relaxed

Cell and atoms, written as extended XYZ:
```
10
Lattice="-0.3464 6.6279 -1.1951 -6.2842 -0.6171 3.1396 -2.6075 2.5064 6.0658" Properties=species:S:1:pos:R:3 pbc="T T T"
Au -4.7232 1.1061 2.0560
Au -5.2535 3.9114 2.4454
Au -4.5149 7.4111 5.9544
Au -6.3522 5.8438 4.4875
Au -2.8858 2.6734 3.5229
Au -3.9846 4.6058 5.5649
Si 0.0000 0.0000 0.0000
Li -3.3153 3.0054 0.9723
La -3.0523 6.1923 2.6834
La -6.1857 2.3249 5.3270
```

The volume is 22.32 A^3/atom. For the spin magnetization, the calculation gives 0.00 μB per cell. The calculation puts the uncorrected formation energy at -0.515 eV per atom.


LiLa2Si4Au3 | PBE | relaxed

Cell and atoms, written as extended XYZ:
```
10
Lattice="-3.6723 1.2019 -2.0070 -2.3276 -1.5022 3.3592 0.5618 9.3469 4.5693" Properties=species:S:1:pos:R:3 pbc="T T T"
Si -1.4800 6.5269 1.8934
Si 0.0000 0.0000 0.0000
Si -0.9582 2.6698 3.3520
Si -2.9999 -0.1502 0.6761
Au -1.3447 8.7779 2.9938
Au 0.2809 4.6735 2.2846
Au -1.0935 0.4189 2.2516
La -1.6957 2.9382 0.1391
La -0.7425 6.2585 5.1063
Li -2.7190 4.5233 2.9607
```

The volume is 19.75 A^3/atom. For the spin magnetization, the calculation gives 0.00 μB per cell. The calculation puts the uncorrected formation energy at -0.617 eV per atom.


LiLaSi2Au5 | PBE | relaxed

Cell and atoms, written as extended XYZ:
```
9
Lattice="-1.7298 -1.8107 3.7875 -0.9962 -3.8024 -2.2728 8.4903 -3.5327 2.1888" Properties=species:S:1:pos:R:3 pbc="T T T"
Au 0.4948 -1.4711 2.2443
Au 0.8616 -2.4670 -0.7859
Au 6.2657 -3.8723 3.7320
Au 2.8821 -4.5729 1.8518
Au 6.6325 -4.8681 0.7018
Si 0.7555 -3.6880 1.3035
Si 5.0088 -5.4578 2.4000
La 4.2452 -1.7664 1.0944
Li 0.0000 0.0000 0.0000
```

The volume is 21.65 A^3/atom. For the spin magnetization, the calculation gives 0.00 μB per cell. The calculation puts the uncorrected formation energy at -0.341 eV per atom.


Li2LaSiAu4 | PBE | relaxed

Cell and atoms, written as extended XYZ:
```
8
Lattice="-2.4792 1.1675 -3.5169 1.1891 -1.2996 -4.0958 -5.2647 -7.4548 -1.5896" Properties=species:S:1:pos:R:3 pbc="T T T"
Si -3.2774 -3.7935 -4.6011
La 0.0000 0.0000 0.0000
Au -4.7049 -5.9815 -4.3212
Au -3.2040 -3.0657 -7.2374
Au -1.8500 -1.6054 -4.8810
Au -3.3509 -4.5212 -1.9648
Li -1.8594 -2.2350 -2.2573
Li -4.6955 -5.3519 -6.9450
```

The volume is 19.15 A^3/atom. For the spin magnetization, the calculation gives 0.00 μB per cell. The calculation puts the uncorrected formation energy at -0.518 eV per atom.


LiLa2Si3Au4 | PBE | relaxed

Cell and atoms, written as extended XYZ:
```
10
Lattice="-0.5962 -1.6447 -4.0761 -3.7262 -1.9926 1.3490 -5.3180 8.2244 -2.5408" Properties=species:S:1:pos:R:3 pbc="T T T"
Au -3.8852 2.1309 -0.2916
Au -2.1612 -1.8187 -1.3635
Au 0.0000 0.0000 0.0000
Au -3.5940 4.2749 -3.6127
Si -2.5869 0.1231 0.3287
Si -2.6590 4.1122 -1.2704
Si -4.8923 6.2826 -4.2330
La -5.8686 5.1982 -1.2392
La -1.6107 1.2075 -2.6651
Li -4.8202 2.2935 -2.6339
```

The volume is 19.91 A^3/atom. For the spin magnetization, the calculation gives 0.00 μB per cell. The calculation puts the uncorrected formation energy at -0.688 eV per atom.


LiLaSiAu | PBE | relaxed

Cell and atoms, written as extended XYZ:
```
4
Lattice="4.9988 0.0000 0.0000 2.4994 4.3291 0.0000 2.4994 1.4430 4.0815" Properties=species:S:1:pos:R:3 pbc="T T T"
La 0.0000 0.0000 0.0000
Si 7.4983 4.3291 3.0612
Au 2.4994 1.4430 1.0204
Li 4.9988 2.8861 2.0408
```

The volume is 22.08 A^3/atom. For the spin magnetization, the calculation gives 0.00 μB per cell. The calculation puts the uncorrected formation energy at -0.480 eV per atom.


Li2LaSmAu4 | PBE | relaxed

Cell and atoms, written as extended XYZ:
```
8
Lattice="4.6090 0.0000 0.0000 2.3045 3.9915 0.0000 2.3045 1.3305 9.5612" Properties=species:S:1:pos:R:3 pbc="T T T"
La 0.0000 0.0000 0.0000
Au 4.6090 2.6610 7.8437
Au 4.6090 2.6610 1.7175
Au 2.3045 1.3305 6.3702
Au 6.9136 3.9915 3.1910
Sm 4.6090 2.6610 4.7806
Li 2.3045 1.3305 2.4940
Li 6.9136 3.9915 7.0672
```

The volume is 21.99 A^3/atom. For the spin magnetization, the calculation gives 0.00 μB per cell. The uncorrected energy comes out at -4.040 eV/atom.


Li2LaSmAu2 | PBE | relaxed

Cell and atoms, written as extended XYZ:
```
6
Lattice="4.6750 0.0000 0.0000 -2.3375 4.0487 0.0000 0.0000 0.0000 7.1897" Properties=species:S:1:pos:R:3 pbc="T T T"
La 0.0000 0.0000 3.5948
Li 0.0000 2.6991 5.5453
Li 2.3375 1.3496 1.6443
Au 2.3375 1.3496 5.4970
Au 0.0000 2.6991 1.6926
Sm 0.0000 0.0000 0.0000
```

The volume is 22.68 A^3/atom. For the spin magnetization, the calculation gives 0.00 μB per cell. The uncorrected energy comes out at -3.876 eV/atom.


LiLa2Sm2Au4 | PBE | relaxed

Cell and atoms, written as extended XYZ:
```
9
Lattice="6.6581 0.2556 0.3689 -2.9718 5.9636 -0.3689 -2.9718 -2.4406 5.4538" Properties=species:S:1:pos:R:3 pbc="T T T"
Sm -1.8739 1.1107 1.6031
Sm -4.0697 2.4123 3.4818
Au -1.0865 2.7931 4.0314
Au -2.9718 3.9106 1.0535
Au -2.9718 -0.3876 4.0314
Au 1.8011 0.9855 1.4224
La 0.3573 -0.2118 4.1826
La 0.3573 3.9903 1.2712
Li 0.0000 0.0000 0.0000
```

The volume is 24.91 A^3/atom. For the spin magnetization, the calculation gives 0.00 μB per cell. The uncorrected energy comes out at -4.369 eV/atom.


Li2LaSm2Au2 | PBE | relaxed

Cell and atoms, written as extended XYZ:
```
7
Lattice="4.0833 0.0000 0.0000 -2.0416 3.5362 0.0000 0.0000 0.0000 13.4061" Properties=species:S:1:pos:R:3 pbc="T T T"
Li 0.0000 2.3575 7.2103
Li 2.0417 1.1787 6.1957
La 0.0000 0.0000 0.0000
Au 2.0417 1.1787 2.1034
Au 0.0000 2.3575 11.3026
Sm 0.0000 0.0000 3.9387
Sm 0.0000 0.0000 9.4673
```

The volume is 27.65 A^3/atom. For the spin magnetization, the calculation gives 0.00 μB per cell. The uncorrected energy comes out at -3.844 eV/atom.


Li2LaSnAu4 | PBE | relaxed

Cell and atoms, written as extended XYZ:
```
8
Lattice="4.5978 0.0000 0.0000 2.2989 3.9818 0.0000 2.2989 1.3273 9.1725" Properties=species:S:1:pos:R:3 pbc="T T T"
Au 6.8967 3.9818 3.3052
Au 4.5978 2.6545 7.4759
Au 2.2989 1.3273 5.8673
Au 4.5978 2.6545 1.6966
Li 6.8967 3.9818 6.4651
Li 2.2989 1.3273 2.7073
Sn 4.5978 2.6545 4.5862
La 0.0000 0.0000 0.0000
```

The volume is 20.99 A^3/atom. For the spin magnetization, the calculation gives 0.00 μB per cell. The uncorrected energy comes out at -3.796 eV/atom.


LiLaSn2Au4 | PBE | relaxed

Cell and atoms, written as extended XYZ:
```
8
Lattice="4.7089 0.0000 0.0000 2.3545 4.0780 0.0000 2.3545 1.3593 8.9920" Properties=species:S:1:pos:R:3 pbc="T T T"
Au 4.7089 2.7187 1.6441
Au 7.0634 4.0780 3.7000
Au 2.3545 1.3593 5.2920
Au 4.7089 2.7187 7.3479
Sn 2.3545 1.3593 2.4611
Sn 7.0634 4.0780 6.5309
Li 4.7089 2.7187 4.4960
La 0.0000 0.0000 0.0000
```

The volume is 21.58 A^3/atom. For the spin magnetization, the calculation gives 0.00 μB per cell. The uncorrected energy comes out at -4.054 eV/atom.


LiLaSn2Au2 | PBE | relaxed

Cell and atoms, written as extended XYZ:
```
6
Lattice="4.7260 0.0000 0.0000 -2.3630 4.0928 0.0000 0.0000 0.0000 7.1683" Properties=species:S:1:pos:R:3 pbc="T T T"
Li 0.0000 0.0000 3.5842
Au 0.0000 2.7286 5.0703
Au 2.3630 1.3643 2.0980
La 0.0000 0.0000 0.0000
Sn 0.0000 2.7286 2.0779
Sn 2.3630 1.3643 5.0905
```

The volume is 23.11 A^3/atom. For the spin magnetization, the calculation gives 0.00 μB per cell. The uncorrected energy comes out at -4.213 eV/atom.


SrLi2LaAu4 | PBE | relaxed

Cell and atoms, written as extended XYZ:
```
8
Lattice="-5.2262 -0.0162 -0.2847 -2.4416 -3.4436 -3.0942 -2.8668 -6.3244 4.8740" Properties=species:S:1:pos:R:3 pbc="T T T"
La -5.2673 -4.8921 0.7476
Au -5.1462 -2.8776 -1.5900
Au -2.7379 -4.1811 2.3871
Au -7.7967 -5.6031 -0.8920
Au -5.3884 -6.9067 3.0851
Li -2.6311 -2.4033 0.3241
Li -7.9035 -7.3810 1.1710
Sr 0.0000 0.0000 0.0000
```

The volume is 23.51 A^3/atom. For the spin magnetization, the calculation gives 0.00 μB per cell. The uncorrected energy comes out at -3.563 eV/atom.


Li2LaTbAu4 | PBE | relaxed

Cell and atoms, written as extended XYZ:
```
8
Lattice="4.6091 0.0000 0.0000 2.3045 3.9916 0.0000 2.3045 1.3305 9.4012" Properties=species:S:1:pos:R:3 pbc="T T T"
Au 2.3045 1.3305 6.1936
Au 6.9136 3.9916 3.2076
Au 4.6091 2.6610 1.7085
Au 4.6091 2.6610 7.6927
Li 2.3045 1.3305 2.5054
Li 6.9136 3.9916 6.8958
La 0.0000 0.0000 0.0000
Tb 4.6091 2.6610 4.7006
```

The volume is 21.62 A^3/atom. For the spin magnetization, the calculation gives 0.00 μB per cell. The uncorrected energy comes out at -4.033 eV/atom.


LiLaTb2Au4 | PBE | relaxed

Cell and atoms, written as extended XYZ:
```
8
Lattice="5.0278 0.0000 0.0000 2.5139 4.3542 0.0000 2.5139 1.4514 8.5502" Properties=species:S:1:pos:R:3 pbc="T T T"
Au 7.5417 4.3542 3.1021
Au 5.0278 2.9028 1.4939
Au 5.0278 2.9028 7.0563
Au 2.5139 1.4514 5.4481
La 0.0000 0.0000 0.0000
Tb 2.5139 1.4514 2.4807
Tb 7.5417 4.3542 6.0695
Li 5.0278 2.9028 4.2751
```

The volume is 23.40 A^3/atom. For the spin magnetization, the calculation gives 0.00 μB per cell. The uncorrected energy comes out at -4.399 eV/atom.